A:
The following is a DFT calculation (PBE) of an optimized crystal structure of Y2Mo2Ir.

abc: 4.0676 9.2966 5.6888
angles: 90.00 90.00 90.00
With the nearest neighbours (Å) after each atom.
Atoms (fractional coordinates):
Y 0.0000 0.7053 0.8157  6 Mo 3.07-3.41, 3 Ir 3.08-3.14
Y 0.0000 0.2947 0.8157  6 Mo 3.07-3.41, 3 Ir 3.08-3.14
Y 0.5000 0.2053 0.3157  6 Mo 3.07-3.41, 3 Ir 3.08-3.14
Y 0.5000 0.7947 0.3157  6 Mo 3.07-3.41, 3 Ir 3.08-3.14
Mo 0.0000 0.0000 0.5423  2 Mo 2.53, 1 Ir 2.59
Mo 0.5000 0.5000 0.0423  2 Mo 2.53, 1 Ir 2.59
Mo 0.0000 0.5000 0.3082  2 Mo 2.53, 2 Ir 2.58
Mo 0.5000 0.0000 0.8082  2 Mo 2.53, 2 Ir 2.58
Ir 0.0000 0.0000 0.0867  3 Mo 2.58-2.59
Ir 0.5000 0.5000 0.5867  3 Mo 2.58-2.59

Calculated values
Total magnetization, μB per formula unit: 0.00
Symmetry: Imm2, No. 44
Volume, Å³/atom: 21.51
Density of states at the Fermi level, states/eV/cell: 9.95


B:
The following is a DFT calculation (PBE) of an optimized crystal structure of Y2Mo2Ir.

abc: 5.0109 5.6832 8.1749
angles: 92.32 99.97 111.06
With the nearest neighbours (Å) after each atom.
Atoms (fractional coordinates):
Y 0.2896 0.7046 0.0043  2 Ir 2.65-2.84
Y 0.7104 0.2954 0.9957  2 Ir 2.65-2.84
Y 0.1306 0.1821 0.6922  1 Ir 2.97, 4 Mo 3.03-3.28
Y 0.8694 0.8179 0.3078  1 Ir 2.97, 4 Mo 3.03-3.28
Mo 0.5833 0.2135 0.4017  1 Mo 2.43, 1 Ir 2.71
Mo 0.4167 0.7865 0.5983  1 Mo 2.43, 1 Ir 2.71
Mo 0.8228 0.5608 0.6251  1 Mo 2.43, 1 Ir 2.62
Mo 0.1772 0.4392 0.3749  1 Mo 2.43, 1 Ir 2.62
Ir 0.7799 0.8094 0.8907  2 Mo 2.62-2.71, 2 Y 2.65-2.84, 1 Ir 2.76
Ir 0.2201 0.1906 0.1093  2 Mo 2.62-2.71, 2 Y 2.65-2.84, 1 Ir 2.76

Calculated values
Total magnetization, μB per formula unit: 0.00
Symmetry: P-1, No. 2
Volume, Å³/atom: 21.26
Density of states at the Fermi level, states/eV/cell: 7.07


C:
The following is a DFT calculation (PBE) of an optimized crystal structure of Y2Mo2Ir.

abc: 9.4804 4.5064 9.7628
angles: 90.00 94.61 90.00
With the nearest neighbours (Å) after each atom.
Atoms (fractional coordinates):
Y 0.8281 0.0000 0.8693  4 Ir 2.90-3.13, 1 Mo 3.08
Y 0.8281 0.5000 0.3693  4 Ir 2.90-3.13, 1 Mo 3.08
Y 0.6537 0.0000 0.5643  4 Ir 2.92-3.20
Y 0.6537 0.5000 0.0643  4 Ir 2.92-3.20
Y 0.9947 0.0000 0.1939  3 Ir 2.95-2.99, 4 Mo 3.09-3.25
Y 0.9947 0.5000 0.6939  3 Ir 2.95-2.99, 4 Mo 3.09-3.25
Y 0.4763 0.0000 0.8568  2 Ir 2.89, 5 Mo 2.95-3.19
Y 0.4763 0.5000 0.3568  2 Ir 2.89, 5 Mo 2.95-3.19
Mo 0.3563 0.0000 0.1390  4 Mo 2.66-2.72, 1 Ir 2.69
Mo 0.3563 0.5000 0.6390  4 Mo 2.66-2.72, 1 Ir 2.69
Mo 0.2133 0.0000 0.6674  4 Mo 2.63-2.77, 1 Ir 2.66
Mo 0.2133 0.5000 0.1674  4 Mo 2.63-2.77, 1 Ir 2.66
Mo 0.1528 0.0000 0.9254  4 Mo 2.60-2.72
Mo 0.1528 0.5000 0.4254  4 Mo 2.60-2.72
Mo 0.2831 0.0000 0.3970  4 Mo 2.60-2.77
Mo 0.2831 0.5000 0.8970  4 Mo 2.60-2.77
Ir 0.9788 0.0000 0.4986  3 Mo 2.66-2.92, 4 Y 2.90-2.95
Ir 0.9788 0.5000 0.9986  3 Mo 2.66-2.92, 4 Y 2.90-2.95
Ir 0.6246 0.0000 0.2506  1 Mo 2.69, 4 Y 2.89-2.92
Ir 0.6246 0.5000 0.7506  1 Mo 2.69, 4 Y 2.89-2.92

Calculated values
Total magnetization, μB per formula unit: 0.00
Symmetry: Cm, No. 8
Volume, Å³/atom: 20.79
Density of states at the Fermi level, states/eV/cell: 14.52


The most stable of them is A.